No. 1
A plane-wave DFT calculation with PBE-GGA was carried out for a relaxed Li2Tl crystal.

The structure in POSCAR format:
```
Li2Tl
1.0
-3.968 2.076 1.651
-3.846 0.401 -2.798
-1.953 -5.162 1.889
Li Tl
4 2
Cartesian
-5.427 0.435 -0.313
-3.168 -1.296 0.401
-7.685 2.165 -1.026
-6.402 -2.146 0.632
-4.140 -3.890 1.350
-8.665 -0.403 -0.087
```

## Properties
energy of formation: -229 meV/atom

---

No. 2
A plane-wave DFT calculation with PBE-GGA was carried out for a relaxed Nb2RuS3 crystal.

The structure in POSCAR format:
```
Nb2RuS3
1.0
-1.861 2.788 -0.205
-3.680 -2.199 3.491
5.740 2.026 2.950
Ru S Nb
1 3 2
Cartesian
-1.675 0.949 0.604
-2.008 0.895 2.885
2.157 1.690 3.399
-3.463 -2.069 3.285
-1.771 -0.847 4.540
-0.184 2.175 3.739
```

## Properties
formation energy (no corrections): -0.4725 eV/atom

---

No. 3
A plane-wave DFT calculation with PBE-GGA was carried out for a relaxed Pm6Co2RhBr3 crystal.

The structure in POSCAR format:
```
Pm6Co2RhBr3
1.0
-3.826 1.099 0.448
-2.680 -7.930 -3.442
2.949 -0.863 9.403
Br Co Pm Rh
3 2 6 1
Cartesian
-3.253 -3.416 -1.497
-1.888 -6.713 0.337
-1.669 -0.982 6.071
-3.001 -4.914 4.332
-0.556 -2.781 2.076
-2.982 -5.885 6.876
-3.020 -3.940 1.782
-1.639 -7.164 3.571
-0.575 -1.810 -0.468
-0.537 -3.755 4.626
-1.917 -0.531 2.837
-1.913 0.549 0.224
```

## Properties
formation energy (no corrections): -0.8489 eV/atom

---

No. 4
A plane-wave DFT calculation with PBE-GGA was carried out for a relaxed Li2VBSe crystal.

The structure in POSCAR format:
```
Li2VBSe
1.0
-1.061 -2.260 4.282
2.131 -3.250 -1.187
4.084 1.936 2.034
Li B V Se
2 1 1 1
Cartesian
2.042 0.968 1.017
-0.531 -1.130 2.141
1.066 -1.625 -0.594
0.000 0.000 0.000
2.577 -1.787 2.564
```

## Properties
formation energy (no corrections): 0.9792 eV/atom

---

No. 5
A plane-wave DFT calculation with PBE-GGA was carried out for a relaxed Y3Ho4Bi4 crystal.

The structure in POSCAR format:
```
Y3Ho4Bi4
1.0
-3.708 1.593 -0.725
-2.961 -8.269 -3.020
0.822 1.234 10.098
Y Bi Ho
3 4 4
Cartesian
-1.481 -4.134 -1.510
-0.516 -0.432 1.689
-5.331 -5.010 4.664
-4.209 -5.779 -2.764
-2.460 -0.897 -0.981
-3.053 -0.208 3.564
-2.794 -5.234 2.789
-1.131 0.125 6.055
-3.620 -2.506 1.416
-2.227 -2.937 4.937
-4.716 -5.567 0.298
```

## Properties
energy of formation: -538 meV/atom

---

No. 6
A plane-wave DFT calculation with PBE-GGA was carried out for a relaxed BaNa2Ca crystal.

The structure in POSCAR format:
```
BaNa2Ca
1.0
5.323 0.000 0.000
0.000 9.791 0.000
0.000 0.000 13.901
Na Ba Ca
8 4 4
Cartesian
1.331 1.949 13.555
3.993 2.947 6.605
3.993 7.842 0.346
1.331 4.225 4.974
1.331 9.121 1.977
1.331 6.845 7.296
3.993 0.670 11.924
3.993 5.566 8.927
3.993 7.155 4.344
1.331 2.636 9.557
1.331 7.532 11.294
3.993 2.259 2.607
1.331 0.474 5.592
3.993 9.318 8.309
1.331 5.369 1.359
3.993 4.422 12.542
```

## Properties
energy of formation: 39 meV/atom
distance to the lowest polymorph of the same formula: 0.006 eV per atom

---

No. 7
A plane-wave DFT calculation with PBE-GGA was carried out for a relaxed Y2FeTe crystal.

The structure in POSCAR format:
```
Y2FeTe
1.0
5.076 0.000 0.000
2.538 4.396 0.000
2.538 1.465 4.145
Fe Y Te
1 2 1
Cartesian
5.076 2.931 2.072
0.000 0.000 0.000
2.538 1.465 1.036
7.615 4.396 3.109
```

## Properties
formation energy (no corrections): 0.1569 eV/atom
distance to the lowest polymorph of the same formula: 0.678 eV per atom

---

No. 8
A plane-wave DFT calculation with PBE-GGA was carried out for a relaxed ReOsRh crystal.

The structure in POSCAR format:
```
ReOsRh
1.0
0.000 2.952 2.952
2.952 0.000 2.952
2.952 2.952 0.000
Re Rh Os
1 1 1
Cartesian
1.476 1.476 1.476
0.000 0.000 0.000
2.952 2.952 2.952
```

## Properties
energy of formation: 456 meV/atom
distance to the lowest polymorph of the same formula: 0.466 eV per atom

---

No. 9
A plane-wave DFT calculation with PBE-GGA was carried out for a relaxed LiPaIrRu crystal.

The structure in POSCAR format:
```
LiPaIrRu
1.0
3.715 0.000 0.000
0.000 4.104 0.000
0.000 0.000 4.310
Ir Li Ru Pa
1 1 1 1
Cartesian
0.000 0.000 0.000
1.857 2.052 0.000
0.000 2.052 2.155
1.857 0.000 2.155
```

## Properties
energy of formation: -563 meV/atom
distance to the lowest polymorph of the same formula: 0.000 eV per atom

---

No. 10
A plane-wave DFT calculation with PBE-GGA was carried out for a relaxed LaEr4Tm3 crystal.

The structure in POSCAR format:
```
LaEr4Tm3
1.0
-2.302 2.587 0.153
-9.761 -1.822 1.665
1.782 -1.235 8.524
Er La Tm
4 1 3
Cartesian
-7.195 0.435 2.146
-1.537 0.634 5.458
-8.744 -1.105 4.884
-3.086 -0.906 8.196
-1.151 1.293 0.076
-6.499 -1.587 7.574
-3.781 1.116 2.769
-3.990 -1.529 5.095
```

## Properties
energy of formation: 126 meV/atom
distance to the lowest polymorph of the same formula: 0.117 eV per atom

---

No. 11
A plane-wave DFT calculation with PBE-GGA was carried out for a relaxed YRe2Tc crystal.

The structure in POSCAR format:
```
YRe2Tc
1.0
-3.071 -3.004 -6.189
0.635 -6.872 3.021
-3.695 -4.681 -0.479
Tc Y Re
2 2 4
Cartesian
0.000 0.000 0.000
-3.992 -6.312 -4.126
-2.139 -8.246 0.479
-1.218 -4.938 -1.584
-4.869 -12.514 -2.973
-3.718 -6.854 -1.706
-2.925 -4.065 -3.935
-0.750 -5.683 1.320
```

## Properties
energy of formation: 690 meV/atom
distance to the lowest polymorph of the same formula: 0.490 eV per atom

---

No. 12
A plane-wave DFT calculation with PBE-GGA was carried out for a relaxed BiAuF2 crystal.

The structure in POSCAR format:
```
BiAuF2
1.0
-0.353 1.603 4.201
-3.002 -1.789 2.851
1.408 -2.488 3.489
Bi Au F
1 1 2
Cartesian
-0.974 -1.337 5.271
0.000 0.000 0.000
-1.461 -2.005 7.906
-0.487 -0.668 2.635
```

## Properties
formation energy (no corrections): -0.9573 eV/atom
distance to the lowest polymorph of the same formula: 0.132 eV per atom

---

No. 13
A plane-wave DFT calculation with PBE-GGA was carried out for a relaxed Pr7SmMg4 crystal.

The structure in POSCAR format:
```
Pr7SmMg4
1.0
-3.299 4.709 1.437
-4.911 2.591 -7.544
-8.041 -2.098 0.638
Sm Mg Pr
1 4 7
Cartesian
0.000 0.000 0.000
-7.998 3.176 -4.327
-2.805 2.416 -2.133
-8.253 2.026 -1.142
-13.446 2.787 -3.335
-11.051 3.882 -1.424
-10.610 1.400 -4.502
-5.641 3.803 -0.967
-1.650 2.355 0.719
-5.200 1.321 -4.045
-5.135 0.232 -0.325
-11.116 4.971 -5.143
```

## Properties
energy of formation: 112 meV/atom

---

No. 14
A plane-wave DFT calculation with PBE-GGA was carried out for a relaxed LaRh2Br2 crystal.

The structure in POSCAR format:
```
LaRh2Br2
1.0
-1.712 6.819 -1.189
-6.736 -1.359 1.902
1.067 1.058 4.535
Br Rh La
4 4 2
Cartesian
-1.806 1.524 2.585
-5.329 1.461 3.429
-2.052 5.057 1.819
-5.575 4.994 2.662
-1.945 4.114 -0.503
-2.720 0.375 0.552
-6.502 1.346 1.215
-5.728 5.085 0.160
0.000 0.000 0.000
-4.224 2.730 0.356
```

## Properties
formation energy (no corrections): -0.4738 eV/atom
distance to the lowest polymorph of the same formula: 0.000 eV per atom

---

No. 15
A plane-wave DFT calculation with PBE-GGA was carried out for a relaxed Zr2IrRh crystal.

The structure in POSCAR format:
```
Zr2IrRh
1.0
6.789 0.064 0.039
5.701 3.687 0.039
5.701 1.712 3.266
Zr Ir Rh
2 1 1
Cartesian
9.108 2.735 1.674
18.179 5.460 3.342
4.548 1.366 0.836
13.644 4.097 2.508
```

## Properties
energy of formation: -488 meV/atom

---

No. 16
A plane-wave DFT calculation with PBE-GGA was carried out for a relaxed TiReSiPd2 crystal.

The structure in POSCAR format:
```
TiReSiPd2
1.0
-3.215 -1.540 -3.323
2.969 -3.140 -1.417
-1.815 -3.171 3.225
Pd Re Si Ti
2 1 1 1
Cartesian
-1.607 -0.770 -1.662
-0.907 -1.586 1.612
0.000 0.000 0.000
-1.030 -3.926 -0.758
1.485 -1.570 -0.708
```

## Properties
formation energy (no corrections): 1.1436 eV/atom

---

No. 17
A plane-wave DFT calculation with PBE-GGA was carried out for a relaxed CaTe2Mo crystal.

The structure in POSCAR format:
```
CaTe2Mo
1.0
-1.460 0.487 5.867
-4.194 -0.348 -1.015
0.255 -4.298 0.420
Mo Te Ca
1 2 1
Cartesian
-4.176 -3.823 2.413
-2.206 -1.499 2.711
-3.448 -4.066 -0.521
-1.478 -1.743 -0.223
```

## Properties
formation energy (no corrections): -0.3240 eV/atom
distance to the lowest polymorph of the same formula: 0.108 eV per atom

---

No. 18
A plane-wave DFT calculation with PBE-GGA was carried out for a relaxed LiAu2Br crystal.

The structure in POSCAR format:
```
LiAu2Br
1.0
3.800 0.000 0.000
0.000 3.810 0.000
0.000 0.000 5.587
Au Li Br
2 1 1
Cartesian
0.000 0.000 2.885
0.000 0.000 5.495
1.900 1.905 4.190
1.900 1.905 1.397
```

## Properties
formation energy (no corrections): -0.2226 eV/atom
distance to the lowest polymorph of the same formula: 0.240 eV per atom

---

No. 19
A plane-wave DFT calculation with PBE-GGA was carried out for a relaxed TbTh2Pt9 crystal.

The structure in POSCAR format:
```
TbTh2Pt9
1.0
4.206 0.000 0.000
0.000 4.206 0.000
0.000 0.000 12.577
Pt Tb Th
9 1 2
Cartesian
2.103 0.000 2.056
2.103 2.103 4.177
0.000 2.103 6.288
0.000 2.103 2.056
0.000 2.103 10.521
2.103 2.103 8.400
2.103 0.000 6.288
2.103 0.000 10.521
2.103 2.103 0.000
0.000 0.000 0.000
0.000 0.000 8.440
0.000 0.000 4.136
```

## Properties
energy of formation: -1104 meV/atom
distance to the lowest polymorph of the same formula: 0.000 eV per atom

---

No. 20
A plane-wave DFT calculation with PBE-GGA was carried out for a relaxed NaGaAu11 crystal.

The structure in POSCAR format:
```
NaGaAu11
1.0
-3.187 3.198 -3.290
-5.971 1.485 3.460
1.281 7.127 0.943
Au Na Ga
11 1 1
Cartesian
-4.067 6.603 1.812
-3.810 5.207 -0.700
0.641 3.564 0.471
-6.512 6.565 -0.599
-0.953 5.162 -1.174
-2.986 0.743 1.730
-1.365 5.245 1.711
-5.830 8.972 1.173
-2.047 2.838 -0.061
-1.984 7.622 -0.215
-5.893 4.188 1.327
0.000 0.000 0.000
-4.579 2.342 0.085
```

## Properties
energy of formation: -95 meV/atom

---

No. 21
A plane-wave DFT calculation with PBE-GGA was carried out for a relaxed Cs7Rb2Tl2 crystal.

The structure in POSCAR format:
```
Cs7Rb2Tl2
1.0
-3.435 7.128 3.639
-6.587 -5.033 -2.669
-2.400 -5.705 12.197
Rb Cs Tl
2 7 2
Cartesian
-3.989 4.992 2.531
-6.033 -2.897 -1.561
-1.200 -2.852 6.099
-3.774 -0.197 2.266
-8.648 -3.413 10.900
-8.218 -2.740 3.488
-5.391 -5.451 7.302
-7.031 1.841 5.864
-4.204 -0.870 9.678
-7.436 -1.931 7.438
-4.986 -1.679 5.728
```

## Properties
energy of formation: -11 meV/atom

---

No. 22
A plane-wave DFT calculation with PBE-GGA was carried out for a relaxed Sm4YErS8 crystal.

The structure in POSCAR format:
```
Sm4YErS8
1.0
8.177 0.000 0.000
4.089 7.082 0.000
4.089 2.361 6.647
S Sm Er Y
8 4 1 1
Cartesian
10.351 3.466 5.004
8.177 2.167 1.660
6.003 3.466 5.004
8.177 7.232 5.004
12.266 7.082 4.845
10.389 5.998 1.660
5.965 5.998 1.660
4.089 2.361 1.754
8.177 4.721 0.850
2.055 1.186 3.326
6.122 1.186 3.326
4.089 4.709 3.326
4.089 2.361 6.637
8.177 4.721 5.798
```

## Properties
formation energy (no corrections): -1.9221 eV/atom

---

No. 23
A plane-wave DFT calculation with PBE-GGA was carried out for a relaxed BaFeTeIr2 crystal.

The structure in POSCAR format:
```
BaFeTeIr2
1.0
-3.177 2.424 -2.284
-0.887 -4.448 -3.486
-3.253 -1.582 2.846
Fe Te Ba Ir
1 1 1 2
Cartesian
0.000 0.000 0.000
-3.659 -1.803 -1.462
-0.444 -2.224 -1.743
-1.627 -0.791 1.423
-1.588 1.212 -1.142
```

## Properties
formation energy (no corrections): 0.7957 eV/atom

---

No. 24
A plane-wave DFT calculation with PBE-GGA was carried out for a relaxed InTe2Pt crystal.

The structure in POSCAR format:
```
InTe2Pt
1.0
3.886 0.000 0.000
0.000 3.814 0.042
0.000 1.925 7.288
Pt In Te
1 1 2
Cartesian
1.943 5.012 5.069
0.000 3.115 4.050
1.943 1.210 2.331
0.000 5.009 6.875
```

## Properties
formation energy (no corrections): -0.1484 eV/atom